! TbHoScOs, relaxed, DFT PBE; values from VASP
&SYSTEM
  ibrav = 0, nat = 4, ntyp = 4
/
ATOMIC_SPECIES
Tb 158.93 Tb.upf
Ho 164.93 Ho.upf
Sc 44.96 Sc.upf
Os 190.23 Os.upf
ATOMIC_POSITIONS angstrom
Tb -4.971 -2.784 -2.321
Ho 0.000 0.000 0.000
Sc -2.485 -1.392 -1.160
Os -7.456 -4.176 -3.481
CELL_PARAMETERS angstrom
-2.602 -0.918 -4.197
-2.325 -4.412 -0.600
-5.015 -0.238 0.155
! formation energy	0.009	eV/atom
! uncorrected energy	-26.7	eV per cell